## K3NaTe6W2 (PBE)

Data for K3NaTe6W2 after structural relaxation.

```
data_K3NaTe6W2
_symmetry_space_group_name_H-M 'P 1'
_symmetry_Int_Tables_number 1
_symmetry_space_group_name_Hall 'P 1'
_cell_length_a 7.4968
_cell_length_b 7.4968
_cell_length_c 8.4768
_cell_angle_alpha 98.56
_cell_angle_beta 98.56
_cell_angle_gamma 119.98
loop_
_atom_site_label
_atom_site_type_symbol
_atom_site_fract_x
_atom_site_fract_y
_atom_site_fract_z
_atom_site_occupancy
K1 K 0.8478 0.1522 0.5000 1
Te1 Te 0.9352 0.5552 0.8081 1
K2 K 0.5000 0.5000 0.5000 1
Te2 Te 0.5552 0.9352 0.8081 1
W1 W 0.3319 0.6681 0.0000 1
Te3 Te 0.6859 0.6859 0.1866 1
Te4 Te 0.3141 0.3141 0.8134 1
K3 K 0.1522 0.8478 0.5000 1
W2 W 0.6681 0.3319 0.0000 1
Te5 Te 0.4448 0.0648 0.1919 1
Te6 Te 0.0648 0.4448 0.1919 1
Na1 Na 0.0000 0.0000 0.0000 1
```

Output
The space-group type is C2/m (12). The calculation puts the total magnetic moment at 4.01 μB/cell.

## ErSc2N3 (PBE)

Data for ErSc2N3 after structural relaxation.

```
data_ErSc2N3
_symmetry_space_group_name_H-M 'P 1'
_symmetry_Int_Tables_number 1
_symmetry_space_group_name_Hall 'P 1'
_cell_length_a 3.2620
_cell_length_b 3.2620
_cell_length_c 7.9821
_cell_angle_alpha 90.00
_cell_angle_beta 90.00
_cell_angle_gamma 120.00
loop_
_atom_site_label
_atom_site_type_symbol
_atom_site_fract_x
_atom_site_fract_y
_atom_site_fract_z
_atom_site_occupancy
Sc1 Sc 0.6667 0.3333 0.1607 1
N1 N 0.6667 0.3333 0.6775 1
Er1 Er 0.0000 0.0000 0.5000 1
Sc2 Sc 0.3333 0.6667 0.8393 1
N2 N 0.3333 0.6667 0.3225 1
N3 N 0.0000 0.0000 0.0000 1
```

Output
The space-group type is P-3m1 (164). The calculation puts the total magnetic moment at 0.00 μB/cell.

## DyEr2Tm5 (PBE)

Data for DyEr2Tm5 after structural relaxation.

```
data_DyEr2Tm5
_symmetry_space_group_name_H-M 'P 1'
_symmetry_Int_Tables_number 1
_symmetry_space_group_name_Hall 'P 1'
_cell_length_a 5.5273
_cell_length_b 7.1150
_cell_length_c 7.1150
_cell_angle_alpha 60.00
_cell_angle_beta 90.00
_cell_angle_gamma 90.00
loop_
_atom_site_label
_atom_site_type_symbol
_atom_site_fract_x
_atom_site_fract_y
_atom_site_fract_z
_atom_site_occupancy
Dy1 Dy 0.0000 0.8335 0.8335 1
Tm1 Tm 0.0000 0.3332 0.8330 1
Tm2 Tm 0.5000 0.1667 0.6670 1
Er1 Er 0.0000 0.3336 0.3336 1
Tm3 Tm 0.0000 0.8330 0.3332 1
Tm4 Tm 0.5000 0.1665 0.1665 1
Er2 Er 0.5000 0.6665 0.6665 1
Tm5 Tm 0.5000 0.6670 0.1667 1
```

Output
The value obtained for the formation energy is 0.00 eV/atom. The space-group type is Amm2 (38). The calculation puts the total magnetic moment at 0.02 μB/cell.

## ZnSiP2 (PBE)

Data for ZnSiP2 after structural relaxation.

```
data_ZnSiP2
_symmetry_space_group_name_H-M 'P 1'
_symmetry_Int_Tables_number 1
_symmetry_space_group_name_Hall 'P 1'
_cell_length_a 6.5123
_cell_length_b 6.5123
_cell_length_c 6.5123
_cell_angle_alpha 130.92
_cell_angle_beta 130.92
_cell_angle_gamma 71.95
loop_
_atom_site_label
_atom_site_type_symbol
_atom_site_fract_x
_atom_site_fract_y
_atom_site_fract_z
_atom_site_occupancy
Zn1 Zn 0.7500 0.2500 0.5000 1
P1 P 0.3577 0.3750 0.4828 1
P2 P 0.1251 0.6423 0.0173 1
P3 P 0.6250 0.1078 0.9827 1
P4 P 0.8922 0.8749 0.5172 1
Si1 Si 0.2500 0.7500 0.5000 1
Si2 Si 0.0000 0.0000 0.0000 1
Zn2 Zn 0.5000 0.5000 0.0000 1
```

Output
The space-group type is I-42d (122).

## LiHoNb (PBE)

Data for LiHoNb after structural relaxation.

```
data_LiHoNb
_symmetry_space_group_name_H-M 'P 1'
_symmetry_Int_Tables_number 1
_symmetry_space_group_name_Hall 'P 1'
_cell_length_a 4.7721
_cell_length_b 4.7721
_cell_length_c 4.7721
_cell_angle_alpha 60.00
_cell_angle_beta 60.00
_cell_angle_gamma 60.00
loop_
_atom_site_label
_atom_site_type_symbol
_atom_site_fract_x
_atom_site_fract_y
_atom_site_fract_z
_atom_site_occupancy
Nb1 Nb 0.2500 0.2500 0.2500 1
Ho1 Ho 0.5000 0.5000 0.5000 1
Li1 Li 0.0000 0.0000 0.0000 1
```

Output
The space-group type is F-43m (216). The calculation puts the total magnetic moment at 2.63 μB/cell.

## ZnBr2 (PBE)

Data for ZnBr2 after structural relaxation.

```
data_ZnBr2
_symmetry_space_group_name_H-M 'P 1'
_symmetry_Int_Tables_number 1
_symmetry_space_group_name_Hall 'P 1'
_cell_length_a 7.9023
_cell_length_b 7.9023
_cell_length_c 7.9023
_cell_angle_alpha 60.00
_cell_angle_beta 60.00
_cell_angle_gamma 60.00
loop_
_atom_site_label
_atom_site_type_symbol
_atom_site_fract_x
_atom_site_fract_y
_atom_site_fract_z
_atom_site_occupancy
Br1 Br 0.3750 0.8750 0.3750 1
Br2 Br 0.8750 0.3750 0.3750 1
Br3 Br 0.3750 0.3750 0.3750 1
Zn1 Zn 0.5000 0.5000 0.5000 1
Zn2 Zn 0.2500 0.2500 0.2500 1
Br4 Br 0.3750 0.3750 0.8750 1
```

Output
The space-group type is Fd-3m (227).

## PrGa2CuAu (PBE)

Data for PrGa2CuAu after structural relaxation.

```
data_PrGa2CuAu
_symmetry_space_group_name_H-M 'P 1'
_symmetry_Int_Tables_number 1
_symmetry_space_group_name_Hall 'P 1'
_cell_length_a 4.3423
_cell_length_b 4.3423
_cell_length_c 10.2735
_cell_angle_alpha 90.00
_cell_angle_beta 90.00
_cell_angle_gamma 90.00
loop_
_atom_site_label
_atom_site_type_symbol
_atom_site_fract_x
_atom_site_fract_y
_atom_site_fract_z
_atom_site_occupancy
Pr1 Pr 0.5000 0.0000 0.7431 1
Ga1 Ga 0.5000 0.0000 0.1486 1
Ga2 Ga 0.5000 0.5000 0.5000 1
Au1 Au 0.0000 0.0000 0.0000 1
Pr2 Pr 0.0000 0.5000 0.2569 1
Cu1 Cu 0.0000 0.5000 0.6195 1
Ga3 Ga 0.0000 0.5000 0.8514 1
Au2 Au 0.5000 0.5000 0.0000 1
Ga4 Ga 0.0000 0.0000 0.5000 1
Cu2 Cu 0.5000 0.0000 0.3805 1
```

Output
The space-group type is P4/nmm (129). The calculation puts the total magnetic moment at 0.01 μB/cell.

## PrScMo (PBE)

Data for PrScMo after structural relaxation.

```
data_PrScMo
_symmetry_space_group_name_H-M 'P 1'
_symmetry_Int_Tables_number 1
_symmetry_space_group_name_Hall 'P 1'
_cell_length_a 4.7858
_cell_length_b 4.7858
_cell_length_c 4.7858
_cell_angle_alpha 60.00
_cell_angle_beta 60.00
_cell_angle_gamma 60.00
loop_
_atom_site_label
_atom_site_type_symbol
_atom_site_fract_x
_atom_site_fract_y
_atom_site_fract_z
_atom_site_occupancy
Sc1 Sc 0.0000 0.0000 0.0000 1
Mo1 Mo 0.2500 0.2500 0.2500 1
Pr1 Pr 0.7500 0.7500 0.7500 1
```

Output
The value obtained for the formation energy is 1.10 eV/atom. The space-group type is F-43m (216). The calculation puts the total magnetic moment at 1.67 μB/cell.

## CdCoAsW (PBE)

Data for CdCoAsW after structural relaxation.

```
data_CdCoAsW
_symmetry_space_group_name_H-M 'P 1'
_symmetry_Int_Tables_number 1
_symmetry_space_group_name_Hall 'P 1'
_cell_length_a 4.4237
_cell_length_b 4.4237
_cell_length_c 4.4237
_cell_angle_alpha 60.00
_cell_angle_beta 60.00
_cell_angle_gamma 60.00
loop_
_atom_site_label
_atom_site_type_symbol
_atom_site_fract_x
_atom_site_fract_y
_atom_site_fract_z
_atom_site_occupancy
W1 W 0.2500 0.2500 0.2500 1
Co1 Co 0.7500 0.7500 0.7500 1
Cd1 Cd 0.5000 0.5000 0.5000 1
As1 As 0.0000 0.0000 0.0000 1
```

Output
The space-group type is F-43m (216). The calculation puts the total magnetic moment at 0.45 μB/cell.

## Tb2YCo2B2C3 (PBE)

Data for Tb2YCo2B2C3 after structural relaxation.

```
data_Tb2YCo2B2C3
_symmetry_space_group_name_H-M 'P 1'
_symmetry_Int_Tables_number 1
_symmetry_space_group_name_Hall 'P 1'
_cell_length_a 10.5672
_cell_length_b 10.5672
_cell_length_c 10.5672
_cell_angle_alpha 160.58
_cell_angle_beta 160.58
_cell_angle_gamma 27.60
loop_
_atom_site_label
_atom_site_type_symbol
_atom_site_fract_x
_atom_site_fract_y
_atom_site_fract_z
_atom_site_occupancy
Co1 Co 0.7500 0.2500 0.5000 1
B1 B 0.8050 0.8050 0.0000 1
Co2 Co 0.2500 0.7500 0.5000 1
C1 C 0.5000 0.5000 0.0000 1
Tb1 Tb 0.6245 0.6245 0.0000 1
C2 C 0.8783 0.8783 0.0000 1
B2 B 0.1950 0.1950 0.0000 1
Tb2 Tb 0.3755 0.3755 0.0000 1
C3 C 0.1217 0.1217 0.0000 1
Y1 Y 0.0000 0.0000 0.0000 1
```

Output
The space-group type is I4/mmm (139). The calculation puts the total magnetic moment at 0.04 μB/cell.

## NaLi2TaSe4 (PBE)

Data for NaLi2TaSe4 after structural relaxation.

```
data_NaLi2TaSe4
_symmetry_space_group_name_H-M 'P 1'
_symmetry_Int_Tables_number 1
_symmetry_space_group_name_Hall 'P 1'
_cell_length_a 6.2031
_cell_length_b 6.2031
_cell_length_c 6.9854
_cell_angle_alpha 90.00
_cell_angle_beta 90.00
_cell_angle_gamma 90.00
loop_
_atom_site_label
_atom_site_type_symbol
_atom_site_fract_x
_atom_site_fract_y
_atom_site_fract_z
_atom_site_occupancy
Se1 Se 0.7719 0.2281 0.1949 1
Se2 Se 0.2281 0.7719 0.1949 1
Se3 Se 0.7719 0.7719 0.8051 1
Li1 Li 0.5000 0.0000 0.0000 1
Se4 Se 0.2281 0.2281 0.8051 1
Na1 Na 0.0000 0.0000 0.5000 1
Ta1 Ta 0.0000 0.0000 0.0000 1
Li2 Li 0.0000 0.5000 0.0000 1
```

Output
The space-group type is P-42m (111). The calculation puts the total magnetic moment at 0.00 μB/cell.

## Hf2Co (PBE)

Data for Hf2Co after structural relaxation.

```
data_Hf2Co
_symmetry_space_group_name_H-M 'P 1'
_symmetry_Int_Tables_number 1
_symmetry_space_group_name_Hall 'P 1'
_cell_length_a 5.4639
_cell_length_b 5.4639
_cell_length_c 5.4639
_cell_angle_alpha 60.00
_cell_angle_beta 60.00
_cell_angle_gamma 60.00
loop_
_atom_site_label
_atom_site_type_symbol
_atom_site_fract_x
_atom_site_fract_y
_atom_site_fract_z
_atom_site_occupancy
Hf1 Hf 0.1250 0.6250 0.6250 1
Hf2 Hf 0.6250 0.6250 0.1250 1
Co1 Co 0.2500 0.2500 0.2500 1
Co2 Co 0.0000 0.0000 0.0000 1
Hf3 Hf 0.6250 0.6250 0.6250 1
Hf4 Hf 0.6250 0.1250 0.6250 1
```

Output
The value obtained for the formation energy is 0.94 eV/atom. The space-group type is Fd-3m (227). The calculation puts the total magnetic moment at 0.01 μB/cell.

## SmReOs (PBE)

Data for SmReOs after structural relaxation.

```
data_SmReOs
_symmetry_space_group_name_H-M 'P 1'
_symmetry_Int_Tables_number 1
_symmetry_space_group_name_Hall 'P 1'
_cell_length_a 4.5323
_cell_length_b 4.5323
_cell_length_c 4.5323
_cell_angle_alpha 60.00
_cell_angle_beta 60.00
_cell_angle_gamma 60.00
loop_
_atom_site_label
_atom_site_type_symbol
_atom_site_fract_x
_atom_site_fract_y
_atom_site_fract_z
_atom_site_occupancy
Sm1 Sm 0.0000 0.0000 0.0000 1
Os1 Os 0.2500 0.2500 0.2500 1
Re1 Re 0.7500 0.7500 0.7500 1
```

Output
The value obtained for the formation energy is 1.93 eV/atom. The space-group type is F-43m (216). The calculation puts the total magnetic moment at 2.21 μB/cell.

Calculated total energy? In order: -53.53 -53.23 -36.10 -37.53 -12.88 -13.23 -41.12 -18.64 -22.95 -73.98 -39.14 -48.42 -22.57 eV/cell.